A relaxed CoSiF3 crystal, computed with PBE+U.

Lattice parameters (Å, degrees): 4.066 4.066 4.066 90.00 90.00 90.00
Space group Pm-3m (No. 221)
Symmetry-distinct sites (fractional):
Co1 0.000 0.000 0.000 (multiplicity 1)
Si1 0.500 0.500 0.500 (multiplicity 1)
F1 0.000 0.000 0.500 (multiplicity 3)

Values from the calculation:
* polymorph energy (0 for the lowest one): 0.000 eV per atom
* energy: -21.41 eV/cell